! PBE with a Hubbard U MgMn6O4F8, relaxed; values from VASP
&SYSTEM
  ibrav = 0, nat = 19, ntyp = 4
/
ATOMIC_SPECIES
Mg 24.30 Mg.upf
Mn 54.94 Mn.upf
O 16.00 O.upf
F 19.00 F.upf
ATOMIC_POSITIONS angstrom
Mg 0.0000 0.0000 0.0000
Mn 0.7399 3.1683 2.0822
Mn 1.0853 1.1786 5.0986
Mn 0.6455 3.8846 7.0439
Mn 2.6076 4.0568 4.6395
Mn 3.4255 1.4083 2.7305
Mn 3.3383 2.2420 7.6818
O -0.0723 3.8585 0.4639
O 1.6799 2.3181 3.5536
O 1.0198 5.1081 5.4726
O 1.9328 2.4990 6.2074
F -0.1688 1.2779 1.5021
F -0.3354 1.2628 7.0227
F 1.6825 4.8964 2.6492
F 2.5087 2.5317 1.0051
F 2.9202 -0.1533 8.1700
F 4.7794 0.4845 4.2212
F 3.9241 4.1580 6.4399
F 4.3914 3.2397 3.2847
CELL_PARAMETERS angstrom
5.4154 0.0000 0.0000
-1.0752 5.4774 0.0000
-0.5802 -0.2395 8.2686
! **SG**: P1, No. 1
! **E**: -124.42 eV per formula unit